[1]
# Sr2LaIn PBE relaxed
data_Sr2LaIn
_chemical_formula_sum 'Sr6 La3 In3'
_cell_length_a 3.9650
_cell_length_b 3.9650
_cell_length_c 35.8108
_cell_angle_alpha 90.00
_cell_angle_beta 90.00
_cell_angle_gamma 120.00
_space_group_name_H-M_alt 'R 3 m'
_space_group_IT_number 160
_space_group_name_Hall 'R 3 -2"'
loop_
_atom_site_label
_atom_site_type_symbol
_atom_site_fract_x
_atom_site_fract_y
_atom_site_fract_z
Sr1 Sr 0.0000 0.0000 0.0000
Sr2 Sr 0.0000 0.0000 0.1872
La1 La 0.0000 0.0000 0.4274
In1 In 0.0000 0.0000 0.5933
# * calculated total energy: -33.50 eV per cell
# * ΔE_f: -0.035 eV/atom
# * crystal system: trigonal



[2]
# Sr2LaIn PBE relaxed
data_Sr2LaIn
_chemical_formula_sum 'Sr2 La1 In1'
_cell_length_a 3.832
_cell_length_b 5.383
_cell_length_c 7.357
_cell_angle_alpha 90.00
_cell_angle_beta 90.00
_cell_angle_gamma 90.00
_space_group_name_H-M_alt 'P m m m'
_space_group_IT_number 47
loop_
_space_group_symop_operation_xyz
'x,y,z'
'-x,-y,-z'
'-x,-y,z'
'x,y,-z'
'x,-y,-z'
'-x,y,z'
'-x,y,-z'
'x,-y,z'
loop_
_atom_site_label
_atom_site_type_symbol
_atom_site_fract_x
_atom_site_fract_y
_atom_site_fract_z
Sr1 Sr 0.000 0.000 0.233
La1 La 0.500 0.500 0.500
In1 In 0.500 0.500 0.000
# * calculated total energy: -11.35 eV per cell
# * ΔE_f: -0.080 eV/atom
# * crystal system: orthorhombic



[3]
# Sr2La2In3 PBE relaxed
data_Sr2La2In3
_chemical_formula_sum 'Sr4 La4 In6'
_cell_length_a 9.670
_cell_length_b 5.568
_cell_length_c 9.895
_cell_angle_alpha 90.00
_cell_angle_beta 109.12
_cell_angle_gamma 90.00
_space_group_name_H-M_alt 'C 1 2/m 1'
_space_group_IT_number 12
loop_
_space_group_symop_operation_xyz
'x,y,z'
'-x,-y,-z'
'-x,y,-z'
'x,-y,z'
'x+1/2,y+1/2,z'
'-x+1/2,-y+1/2,-z'
'-x+1/2,y+1/2,-z'
'x+1/2,-y+1/2,z'
loop_
_atom_site_label
_atom_site_type_symbol
_atom_site_fract_x
_atom_site_fract_y
_atom_site_fract_z
Sr1 Sr 0.128 0.000 0.384
La1 La 0.122 0.500 0.865
In1 In 0.000 0.000 0.000
In2 In 0.245 0.500 0.235
# * calculated total energy: -47.89 eV per cell
# * ΔE_f: -0.359 eV/atom
# * crystal system: monoclinic